1.
# ZnHg2Pb

ZnHg2Pb at its PBEsol-relaxed geometry (meta-GGA SCAN, the Alexandria database).

Cell lengths 3.388, 3.388, 7.780 Å; angles 90.00, 90.00, 90.00 degrees
Space group P4/mmm (No. 123)
Inequivalent atoms, fractional coordinates:
Zn 0.000 0.000 0.000 (multiplicity 1)
Hg 0.500 0.500 0.207 (multiplicity 2)
Pb 0.000 0.000 0.500 (multiplicity 1)

Computed properties:
The calculated formation energy comes out at 0.11 eV/atom. The value obtained for the spin magnetization is 0.000 μB/atom.



2.
# ZnHg2Pb

ZnHg2Pb at its PBEsol-relaxed geometry (meta-GGA SCAN, the Alexandria database).

Cell lengths 3.276, 3.466, 7.966 Å; angles 90.00, 90.00, 90.00 degrees
Space group Pmm2 (No. 25)
Inequivalent atoms, fractional coordinates:
Zn 0.000 0.000 0.000 (multiplicity 1)
Hg 0.000 0.000 0.453 (multiplicity 1)
Hg 0.500 0.500 0.195 (multiplicity 1)
Pb 0.500 0.500 0.745 (multiplicity 1)

Computed properties:
The calculated formation energy comes out at 0.14 eV/atom. The value obtained for the spin magnetization is 0.000 μB/atom.



3.
# ZnHgPb2

ZnHgPb2 at its PBEsol-relaxed geometry (meta-GGA SCAN, the Alexandria database).

Cell lengths 3.667, 4.636, 6.080 Å; angles 90.00, 107.35, 90.00 degrees
Space group Pm (No. 6)
Inequivalent atoms, fractional coordinates:
Zn 0.000 0.000 0.000 (multiplicity 1)
Hg 0.140 0.500 0.271 (multiplicity 1)
Pb 0.412 0.500 0.818 (multiplicity 1)
Pb 0.743 0.000 0.477 (multiplicity 1)

Computed properties:
The calculated formation energy comes out at 0.12 eV/atom. The value obtained for the spin magnetization is 0.000 μB/atom.



4.
# ZnHgPb2

ZnHgPb2 at its PBEsol-relaxed geometry (meta-GGA SCAN, the Alexandria database).

Cell lengths 3.429, 3.429, 8.319 Å; angles 90.00, 90.00, 90.00 degrees
Space group P4/mmm (No. 123)
Inequivalent atoms, fractional coordinates:
Zn 0.000 0.000 0.000 (multiplicity 1)
Hg 0.000 0.000 0.500 (multiplicity 1)
Pb 0.500 0.500 0.223 (multiplicity 2)

Computed properties:
The calculated formation energy comes out at 0.13 eV/atom. The value obtained for the spin magnetization is 0.000 μB/atom.



5.
# ZrHgPb

ZrHgPb at its PBEsol-relaxed geometry (meta-GGA SCAN, the Alexandria database).

Cell lengths 6.798, 6.798, 6.798 Å; angles 90.00, 90.00, 90.00 degrees
Space group F-43m (No. 216)
Inequivalent atoms, fractional coordinates:
Zr 0.000 0.000 0.000 (multiplicity 4)
Hg 0.000 0.000 0.500 (multiplicity 4)
Pb 0.250 0.250 0.250 (multiplicity 4)

Computed properties:
The calculated formation energy comes out at 0.35 eV/atom. The value obtained for the spin magnetization is 0.000 μB/atom.



6.
# Hg3Pd

Hg3Pd at its PBEsol-relaxed geometry (meta-GGA SCAN, the Alexandria database).

Cell lengths 4.233, 4.233, 4.233 Å; angles 90.00, 90.00, 90.00 degrees
Space group Pm-3m (No. 221)
Inequivalent atoms, fractional coordinates:
Hg 0.000 0.000 0.500 (multiplicity 3)
Pd 0.500 0.500 0.500 (multiplicity 1)

Computed properties:
The calculated formation energy comes out at 0.06 eV/atom. The value obtained for the spin magnetization is 0.000 μB/atom.



7.
# Hg5Pd2

Hg5Pd2 at its PBEsol-relaxed geometry (meta-GGA SCAN, the Alexandria database).

Cell lengths 9.642, 9.642, 2.929 Å; angles 90.00, 90.00, 90.00 degrees
Space group P4/mbm (No. 127)
Inequivalent atoms, fractional coordinates:
Hg 0.000 0.500 0.000 (multiplicity 2)
Hg 0.063 0.204 0.000 (multiplicity 8)
Pd 0.181 0.681 0.500 (multiplicity 4)

Computed properties:
The calculated formation energy comes out at -0.08 eV/atom. The value obtained for the spin magnetization is 0.000 μB/atom.



8.
# Hg2PdPt

Hg2PdPt at its PBEsol-relaxed geometry (meta-GGA SCAN, the Alexandria database).

Cell lengths 6.496, 6.496, 6.496 Å; angles 90.00, 90.00, 90.00 degrees
Space group Fm-3m (No. 225)
Inequivalent atoms, fractional coordinates:
Hg 0.250 0.250 0.250 (multiplicity 8)
Pd 0.000 0.000 0.000 (multiplicity 4)
Pt 0.000 0.000 0.500 (multiplicity 4)

Computed properties:
The calculated formation energy comes out at -0.03 eV/atom. The value obtained for the spin magnetization is 0.000 μB/atom.



9.
# RbHgPd3

RbHgPd3 at its PBEsol-relaxed geometry (meta-GGA SCAN, the Alexandria database).

Cell lengths 4.993, 4.993, 4.993 Å; angles 90.00, 90.00, 90.00 degrees
Space group Pm-3m (No. 221)
Inequivalent atoms, fractional coordinates:
Rb 0.000 0.000 0.000 (multiplicity 1)
Hg 0.500 0.500 0.500 (multiplicity 1)
Pd 0.000 0.000 0.500 (multiplicity 3)

Computed properties:
The calculated formation energy comes out at 1.40 eV/atom. The value obtained for the spin magnetization is 0.000 μB/atom.



10.
# HgPd3Rh

HgPd3Rh at its PBEsol-relaxed geometry (meta-GGA SCAN, the Alexandria database).

Cell lengths 4.719, 4.719, 4.719 Å; angles 90.00, 90.00, 90.00 degrees
Space group Pm-3m (No. 221)
Inequivalent atoms, fractional coordinates:
Hg 0.000 0.000 0.000 (multiplicity 1)
Pd 0.000 0.500 0.500 (multiplicity 3)
Rh 0.500 0.500 0.500 (multiplicity 1)

Computed properties:
The calculated formation energy comes out at 1.00 eV/atom. The value obtained for the spin magnetization is 0.413 μB/atom.



11.
# HgPdS2

HgPdS2 at its PBEsol-relaxed geometry (meta-GGA SCAN, the Alexandria database).

Cell lengths 3.6783, 3.6783, 22.2845 Å; angles 90.00, 90.00, 120.00 degrees
Space group R-3m (No. 166, hexagonal axes)
Inequivalent atoms, fractional coordinates:
Hg 0.0000 0.0000 0.0000 (multiplicity 3)
Pd 0.0000 0.0000 0.5000 (multiplicity 3)
S 0.0000 0.0000 0.4016 (multiplicity 6)

Computed properties:
Its energy relative to the elements, uncorrected is 0.24 eV/atom. The value obtained for the spin magnetization is 0.000 μB/atom.



12.
# HgSbPd3

HgSbPd3 at its PBEsol-relaxed geometry (meta-GGA SCAN, the Alexandria database).

Cell lengths 4.903, 4.903, 4.903 Å; angles 90.00, 90.00, 90.00 degrees
Space group Pm-3m (No. 221)
Inequivalent atoms, fractional coordinates:
Hg 0.000 0.000 0.000 (multiplicity 1)
Sb 0.500 0.500 0.500 (multiplicity 1)
Pd 0.000 0.000 0.500 (multiplicity 3)

Computed properties:
Its energy relative to the elements, uncorrected is 0.81 eV/atom. The value obtained for the spin magnetization is 0.000 μB/atom.



13.
# ScHg2Pd

ScHg2Pd at its PBEsol-relaxed geometry (meta-GGA SCAN, the Alexandria database).

Cell lengths 6.643, 6.643, 6.643 Å; angles 90.00, 90.00, 90.00 degrees
Space group Fm-3m (No. 225)
Inequivalent atoms, fractional coordinates:
Sc 0.000 0.000 0.000 (multiplicity 4)
Hg 0.250 0.250 0.250 (multiplicity 8)
Pd 0.000 0.000 0.500 (multiplicity 4)

Computed properties:
The calculated formation energy comes out at -0.52 eV/atom. The value obtained for the spin magnetization is 0.000 μB/atom.



14.
# HgPdSe2

HgPdSe2 at its PBEsol-relaxed geometry (meta-GGA SCAN, the Alexandria database).

Cell lengths 3.8215, 3.8215, 23.1899 Å; angles 90.00, 90.00, 120.00 degrees
Space group R-3m (No. 166, hexagonal axes)
Inequivalent atoms, fractional coordinates:
Hg 0.0000 0.0000 0.0000 (multiplicity 3)
Pd 0.0000 0.0000 0.5000 (multiplicity 3)
Se 0.0000 0.0000 0.1129 (multiplicity 6)

Computed properties:
Its energy relative to the elements, uncorrected is -0.18 eV/atom. The value obtained for the spin magnetization is 0.000 μB/atom.



15.
# Hg3Pd8Se9

Hg3Pd8Se9 at its PBEsol-relaxed geometry (meta-GGA SCAN, the Alexandria database).

Cell lengths 7.238, 16.762, 6.400 Å; angles 90.00, 90.00, 90.00 degrees
Space group Pmmn (No. 59, origin choice 2)
Inequivalent atoms, fractional coordinates:
Hg 0.250 0.045 0.123 (multiplicity 4)
Hg 0.250 0.750 0.281 (multiplicity 2)
Pd 0.012 0.161 0.968 (multiplicity 8)
Pd 0.250 0.165 0.404 (multiplicity 4)
Pd 0.250 0.515 0.533 (multiplicity 4)
Se 0.010 0.750 0.721 (multiplicity 4)
Se 0.015 0.090 0.621 (multiplicity 8)
Se 0.250 0.250 0.806 (multiplicity 2)
Se 0.250 0.583 0.890 (multiplicity 4)

Computed properties:
Its energy relative to the elements, uncorrected is -0.36 eV/atom. The value obtained for the spin magnetization is 0.000 μB/atom.



16.
# SmHgPd

SmHgPd at its PBEsol-relaxed geometry (meta-GGA SCAN, the Alexandria database).

Cell lengths 7.6755, 7.6755, 3.7790 Å; angles 90.00, 90.00, 120.00 degrees
Space group P-62m (No. 189)
Inequivalent atoms, fractional coordinates:
Sm 0.0000 0.6025 0.0000 (multiplicity 3)
Hg 0.0000 0.2673 0.5000 (multiplicity 3)
Pd 0.0000 0.0000 0.0000 (multiplicity 1)
Pd 0.3333 0.6667 0.5000 (multiplicity 2)

Computed properties:
The calculated formation energy comes out at -0.83 eV/atom. The value obtained for the spin magnetization is 0.000 μB/atom.



17.
# Sn2HgPd2

Sn2HgPd2 at its PBEsol-relaxed geometry (meta-GGA SCAN, the Alexandria database).

Cell lengths 4.295, 4.295, 11.639 Å; angles 90.00, 90.00, 90.00 degrees
Space group I4/mmm (No. 139)
Inequivalent atoms, fractional coordinates:
Sn 0.000 0.500 0.250 (multiplicity 4)
Hg 0.000 0.000 0.000 (multiplicity 2)
Pd 0.000 0.000 0.387 (multiplicity 4)

Computed properties:
The calculated formation energy comes out at -0.05 eV/atom. The value obtained for the spin magnetization is 0.000 μB/atom.



18.
# SrHg2Pd2

SrHg2Pd2 at its PBEsol-relaxed geometry (meta-GGA SCAN, the Alexandria database).

Cell lengths 4.286, 4.286, 12.085 Å; angles 90.00, 90.00, 90.00 degrees
Space group I4/mmm (No. 139)
Inequivalent atoms, fractional coordinates:
Sr 0.000 0.000 0.000 (multiplicity 2)
Hg 0.000 0.000 0.385 (multiplicity 4)
Pd 0.000 0.500 0.250 (multiplicity 4)

Computed properties:
The calculated formation energy comes out at -0.46 eV/atom. The value obtained for the spin magnetization is 0.000 μB/atom.



19.
# SrHg2Pd2

SrHg2Pd2 at its PBEsol-relaxed geometry (meta-GGA SCAN, the Alexandria database).

Cell lengths 7.634, 7.634, 3.494 Å; angles 90.00, 90.00, 90.00 degrees
Space group P4/mbm (No. 127)
Inequivalent atoms, fractional coordinates:
Sr 0.000 0.000 0.000 (multiplicity 2)
Hg 0.160 0.340 0.500 (multiplicity 4)
Pd 0.133 0.633 0.000 (multiplicity 4)

Computed properties:
The calculated formation energy comes out at -0.42 eV/atom. The value obtained for the spin magnetization is 0.000 μB/atom.



20.
# TaHgTePd2

TaHgTePd2 at its PBEsol-relaxed geometry (meta-GGA SCAN, the Alexandria database).

Cell lengths 4.866, 4.866, 5.215 Å; angles 90.00, 90.00, 90.00 degrees
Space group P4/mmm (No. 123)
Inequivalent atoms, fractional coordinates:
Ta 0.000 0.000 0.000 (multiplicity 1)
Hg 0.500 0.500 0.500 (multiplicity 1)
Te 0.500 0.500 0.000 (multiplicity 1)
Pd 0.000 0.500 0.500 (multiplicity 2)

Computed properties:
Its energy relative to the elements, uncorrected is 1.50 eV/atom. The value obtained for the spin magnetization is 0.518 μB/atom.